Record 1
Compound: K3PPb
Source: Alexandria
Functional: SCAN
Structure: PBEsol geometry

formation energy	2.38	eV per formula unit
SG	Pm-3m, No. 221

a = 6.591 Å, b = 6.591 Å, c = 6.591 Å
α = 90.00°, β = 90.00°, γ = 90.00°
Element x y z (fractional)
K 0.000 0.000 0.500
K 0.000 0.500 0.000
K 0.500 0.000 0.000
P 0.500 0.500 0.500
Pb 0.000 0.000 0.000

=====

Record 2
Compound: KPPb2
Source: Alexandria
Functional: SCAN
Structure: PBEsol geometry

formation energy	0.16	eV per formula unit
SG	P4/mmm, No. 123

a = 4.692 Å, b = 4.692 Å, c = 4.741 Å
α = 90.00°, β = 90.00°, γ = 90.00°
Element x y z (fractional)
K 0.000 0.000 0.000
P 0.500 0.500 0.000
Pb 0.000 0.500 0.500
Pb 0.500 0.000 0.500

=====

Record 3
Compound: KPPb2
Source: Alexandria
Functional: SCAN
Structure: PBEsol geometry

formation energy	0.03	eV per formula unit
SG	R-3m, No. 166

a = 3.873 Å, b = 3.873 Å, c = 27.869 Å
α = 90.00°, β = 90.00°, γ = 120.00°
Element x y z (fractional)
K 0.000 0.000 0.000
K 0.333 0.667 0.667
K 0.667 0.333 0.333
P 0.000 0.000 0.500
P 0.333 0.667 0.167
P 0.667 0.333 0.833
Pb 0.000 0.000 0.228
Pb 0.000 0.000 0.772
Pb 0.333 0.667 0.439
Pb 0.333 0.667 0.895
Pb 0.667 0.333 0.105
Pb 0.667 0.333 0.561

=====

Record 4
Compound: KPPb2
Source: Alexandria
Functional: SCAN
Structure: PBEsol geometry

formation energy	-0.45	eV per formula unit
SG	Cmmm, No. 65

a = 6.179 Å, b = 10.479 Å, c = 3.807 Å
α = 90.00°, β = 90.00°, γ = 90.00°
Element x y z (fractional)
K 0.000 0.000 0.000
K 0.500 0.500 0.000
P 0.000 0.500 0.000
P 0.500 0.000 0.000
Pb 0.000 0.312 0.500
Pb 0.000 0.688 0.500
Pb 0.500 0.188 0.500
Pb 0.500 0.812 0.500

=====

Record 5
Compound: KPPtPb2
Source: Alexandria
Functional: SCAN
Structure: PBEsol geometry

formation energy	-0.01	eV per formula unit
SG	P4/mmm, No. 123

a = 5.794 Å, b = 5.794 Å, c = 4.398 Å
α = 90.00°, β = 90.00°, γ = 90.00°
Element x y z (fractional)
K 0.000 0.000 0.000
P 0.500 0.500 0.000
Pt 0.500 0.500 0.500
Pb 0.000 0.500 0.500
Pb 0.500 0.000 0.500

=====

Record 6
Compound: KRePPb2
Source: Alexandria
Functional: SCAN
Structure: PBEsol geometry

formation energy	7.40	eV per formula unit
SG	P4/mmm, No. 123

a = 5.312 Å, b = 5.312 Å, c = 5.513 Å
α = 90.00°, β = 90.00°, γ = 90.00°
Element x y z (fractional)
K 0.000 0.000 0.000
Re 0.500 0.500 0.000
P 0.000 0.000 0.500
Pb 0.000 0.500 0.500
Pb 0.500 0.000 0.500

=====

Record 7
Compound: KPPbS4
Source: Alexandria
Functional: SCAN
Structure: PBEsol geometry

formation energy (no corrections)	-0.791	eV per atom
SG	Pnma, No. 62

a = 16.588 Å, b = 6.498 Å, c = 6.523 Å
α = 90.00°, β = 90.00°, γ = 90.00°
Element x y z (fractional)
K 0.212 0.250 0.027
K 0.288 0.750 0.527
K 0.712 0.250 0.473
K 0.788 0.750 0.973
P 0.097 0.750 0.223
P 0.403 0.250 0.723
P 0.597 0.750 0.277
P 0.903 0.250 0.777
Pb 0.023 0.750 0.719
Pb 0.477 0.250 0.219
Pb 0.523 0.750 0.781
Pb 0.977 0.250 0.281
S 0.024 0.250 0.851
S 0.121 0.001 0.401
S 0.121 0.499 0.401
S 0.169 0.750 0.970
S 0.331 0.250 0.470
S 0.379 0.501 0.901
S 0.379 0.999 0.901
S 0.476 0.750 0.351
S 0.524 0.250 0.649
S 0.621 0.001 0.099
S 0.621 0.499 0.099
S 0.669 0.750 0.530
S 0.831 0.250 0.030
S 0.879 0.501 0.599
S 0.879 0.999 0.599
S 0.976 0.750 0.149

=====

Record 8
Compound: KPPdS4
Source: Alexandria
Functional: SCAN
Structure: PBEsol geometry

formation energy (no corrections)	-0.756	eV per atom
SG	P4_2/mnm, No. 136

a = 8.578 Å, b = 8.578 Å, c = 10.445 Å
α = 90.00°, β = 90.00°, γ = 90.00°
Element x y z (fractional)
K 0.000 0.500 0.250
K 0.000 0.500 0.750
K 0.500 0.000 0.250
K 0.500 0.000 0.750
P 0.249 0.249 0.000
P 0.251 0.749 0.500
P 0.749 0.251 0.500
P 0.751 0.751 0.000
Pd 0.000 0.000 0.000
Pd 0.000 0.000 0.500
Pd 0.500 0.500 0.000
Pd 0.500 0.500 0.500
S 0.013 0.731 0.500
S 0.141 0.141 0.150
S 0.141 0.141 0.850
S 0.231 0.487 0.000
S 0.269 0.987 0.500
S 0.359 0.641 0.350
S 0.359 0.641 0.650
S 0.487 0.231 0.000
S 0.513 0.769 0.000
S 0.641 0.359 0.350
S 0.641 0.359 0.650
S 0.731 0.013 0.500
S 0.769 0.513 0.000
S 0.859 0.859 0.150
S 0.859 0.859 0.850
S 0.987 0.269 0.500